w) Here is TaRuC3 after structural relaxation from the Alexandria database. Energies are from PBE.

Summary:
* magnetic moment: 0.00 μB per formula unit
* N(E_F): 5.48 states/eV/f.u.
* ρ: 7.7 Mg/m³

Cell lengths 4.0944, 4.0944, 4.0944 Å; angles 90.00, 90.00, 90.00 degrees
Space group Pm-3m (No. 221)
Symmetry-distinct sites (fractional):
Ta  0.0000  0.0000  0.0000
Ru  0.5000  0.5000  0.5000
C  0.0000  0.0000  0.5000

x) Here is TaRuC3 after structural relaxation from the Alexandria database. Energies are from PBE.

Summary:
* magnetic moment: 0.00 μB per formula unit
* N(E_F): 6.00 states/eV/f.u.
* ρ: 8.9 Mg/m³

Cell lengths 3.8959, 3.8959, 3.8959 Å; angles 90.00, 90.00, 90.00 degrees
Space group Pm-3m (No. 221)
Symmetry-distinct sites (fractional):
Ta  0.0000  0.0000  0.0000
Ru  0.5000  0.5000  0.5000
C  0.0000  0.5000  0.5000

Which of them is the least stable? Correct choice: w).

w) Here is Ta3RuC after structural relaxation from the Alexandria database. Energies are from PBE.

Summary:
* magnetic moment: 0.00 μB per formula unit
* N(E_F): 4.54 states/eV/f.u.
* ρ: 10.1 Mg/m³

Cell lengths 4.7569, 4.7569, 4.7569 Å; angles 90.00, 90.00, 90.00 degrees
Space group Pm-3m (No. 221)
Symmetry-distinct sites (fractional):
Ta  0.0000  0.0000  0.5000
Ru  0.0000  0.0000  0.0000
C  0.5000  0.5000  0.5000

x) Here is Ta3RuC after structural relaxation from the Alexandria database. Energies are from PBE.

Summary:
* magnetic moment: 0.00 μB per formula unit
* N(E_F): 4.88 states/eV/f.u.
* ρ: 14.1 Mg/m³

Cell lengths 4.2566, 4.2566, 4.2566 Å; angles 90.00, 90.00, 90.00 degrees
Space group Pm-3m (No. 221)
Symmetry-distinct sites (fractional):
Ta  0.0000  0.0000  0.5000
Ru  0.5000  0.5000  0.5000
C  0.0000  0.0000  0.0000

Which of them is the least stable? Correct choice: w).

w) Here is TaRu2C2 after structural relaxation from the Alexandria database. Energies are from PBE.

Summary:
* magnetic moment: 0.00 μB per formula unit
* N(E_F): 2.66 states/eV/f.u.
* ρ: 11.8 Mg/m³

Cell lengths 6.2906, 6.2906, 2.8950 Å; angles 90.00, 90.00, 90.00 degrees
Space group P4/mbm (No. 127)
Symmetry-distinct sites (fractional):
Ta  0.0000  0.0000  0.0000
Ru  0.1476  0.3524  0.5000
C  0.1855  0.6855  0.0000

x) Here is TaRu2C2 after structural relaxation from the Alexandria database. Energies are from PBE.

Summary:
* magnetic moment: 0.00 μB per formula unit
* N(E_F): 3.09 states/eV/f.u.
* ρ: 11.9 Mg/m³

Cell lengths 3.7536, 3.7536, 8.0512 Å; angles 90.00, 90.00, 90.00 degrees
Space group I4/mmm (No. 139)
Symmetry-distinct sites (fractional):
Ta  0.0000  0.0000  0.0000
Ru  0.0000  0.5000  0.2500
C  0.0000  0.0000  0.4059

Which of them is the least stable? Correct choice: w).

w) Here is TaRuC2 after structural relaxation from the Alexandria database. Energies are from PBE.

Summary:
* magnetic moment: 0.63 μB per formula unit
* N(E_F): 4.89 states/eV/f.u.
* ρ: 12.4 Mg/m³

Cell lengths 5.4732, 5.4732, 5.4732 Å; angles 90.00, 90.00, 90.00 degrees
Space group Fm-3m (No. 225)
Symmetry-distinct sites (fractional):
Ta  0.0000  0.0000  0.0000
Ru  0.0000  0.0000  0.5000
C  0.2500  0.2500  0.2500

x) Here is TaRuC2 after structural relaxation from the Alexandria database. Energies are from PBE.

Summary:
* magnetic moment: 0.00 μB per formula unit
* N(E_F): 1.66 states/eV/f.u.
* ρ: 9.7 Mg/m³

Cell lengths 4.6400, 4.6400, 9.7015 Å; angles 90.00, 90.00, 90.00 degrees
Space group I-42d (No. 122)
Symmetry-distinct sites (fractional):
Ta  0.0000  0.0000  0.0000
Ru  0.0000  0.0000  0.5000
C  0.2286  0.2500  0.6250

Which of them is the least stable? Correct choice: w).

w) Here is TbRuC after structural relaxation from the Alexandria database. Energies are from PBE.

Summary:
* magnetic moment: 0.00 μB per formula unit
* N(E_F): 2.25 states/eV/f.u.
* ρ: 8.8 Mg/m³

Cell lengths 11.0131, 4.9713, 3.9351 Å; angles 90.00, 107.92, 90.00 degrees
Space group C2/m (No. 12)
Symmetry-distinct sites (fractional):
Tb  0.1461  0.0000  0.3518
Ru  0.0848  0.5000  0.8253
C  0.1142  0.5000  0.3537

x) Here is TbRuC after structural relaxation from the Alexandria database. Energies are from PBE.

Summary:
* magnetic moment: 0.00 μB per formula unit
* N(E_F): 0.99 states/eV/f.u.
* ρ: 9.6 Mg/m³

Cell lengths 3.3644, 3.3644, 4.8085 Å; angles 90.00, 90.00, 120.00 degrees
Space group P3m1 (No. 156)
Symmetry-distinct sites (fractional):
Tb  0.0000  0.0000  0.0000
Ru  0.3333  0.6667  0.5235
C  0.6667  0.3333  0.6633

y) Here is TbRuC after structural relaxation from the Alexandria database. Energies are from PBE.

Summary:
* magnetic moment: 0.00 μB per formula unit
* N(E_F): 1.49 states/eV/f.u.
* ρ: 9.0 Mg/m³

Cell lengths 3.8662, 3.8662, 6.7109 Å; angles 90.00, 90.00, 90.00 degrees
Space group P4_2/mmc (No. 131)
Symmetry-distinct sites (fractional):
Tb  0.0000  0.0000  0.2500
Ru  0.5000  0.5000  0.0000
C  0.0000  0.5000  0.0000

Which of them is the least stable? Correct choice: x).

w) Here is Tb2RuC2 after structural relaxation from the Alexandria database. Energies are from PBE.

Summary:
* magnetic moment: 0.00 μB per formula unit
* N(E_F): 2.68 states/eV/f.u.
* ρ: 9.3 Mg/m³

Cell lengths 11.2691, 3.4166, 9.4497 Å; angles 90.00, 119.19, 90.00 degrees
Space group C2/m (No. 12)
Symmetry-distinct sites (fractional):
Tb  0.0238  0.0000  0.1749
Tb  0.1493  0.0000  0.5856
Ru  0.2214  0.5000  0.8802
C  0.0314  0.5000  0.6741
C  0.1689  0.5000  0.0829

x) Here is Tb2RuC2 after structural relaxation from the Alexandria database. Energies are from PBE.

Summary:
* magnetic moment: 0.00 μB per formula unit
* N(E_F): 2.90 states/eV/f.u.
* ρ: 9.0 Mg/m³

Cell lengths 6.4814, 5.1506, 9.8325 Å; angles 90.00, 90.00, 90.00 degrees
Space group Pnma (No. 62)
Symmetry-distinct sites (fractional):
Tb  0.0251  0.2500  0.2160
Tb  0.1801  0.2500  0.5535
Ru  0.2222  0.2500  0.8639
C  0.0411  0.7500  0.2429
C  0.1760  0.7500  0.5516

Which of them is the least stable? Correct choice: w).

w) Here is TcRu3C after structural relaxation from the Alexandria database. Energies are from PBE.

Summary:
* magnetic moment: 1.73 μB per formula unit
* N(E_F): 10.25 states/eV/f.u.
* ρ: 6.9 Mg/m³

Cell lengths 4.6225, 4.6225, 4.6225 Å; angles 90.00, 90.00, 90.00 degrees
Space group Pm-3m (No. 221)
Symmetry-distinct sites (fractional):
Tc  0.0000  0.0000  0.0000
Ru  0.0000  0.0000  0.5000
C  0.5000  0.5000  0.5000

x) Here is TcRu3C after structural relaxation from the Alexandria database. Energies are from PBE.

Summary:
* magnetic moment: 1.89 μB per formula unit
* N(E_F): 4.63 states/eV/f.u.
* ρ: 10.5 Mg/m³

Cell lengths 4.0246, 4.0246, 4.0246 Å; angles 90.00, 90.00, 90.00 degrees
Space group Pm-3m (No. 221)
Symmetry-distinct sites (fractional):
Tc  0.0000  0.0000  0.0000
Ru  0.0000  0.5000  0.5000
C  0.5000  0.5000  0.5000

Which of them is the least stable? Correct choice: w).

w) Here is Te3RuC after structural relaxation from the Alexandria database. Energies are from PBE.

Summary:
* magnetic moment: 0.38 μB per formula unit
* N(E_F): 7.27 states/eV/f.u.
* ρ: 5.9 Mg/m³

Cell lengths 5.2014, 5.2014, 5.2014 Å; angles 90.00, 90.00, 90.00 degrees
Space group Pm-3m (No. 221)
Symmetry-distinct sites (fractional):
Te  0.0000  0.0000  0.5000
Ru  0.0000  0.0000  0.0000
C  0.5000  0.5000  0.5000

x) Here is Te3RuC after structural relaxation from the Alexandria database. Energies are from PBE.

Summary:
* magnetic moment: 0.00 μB per formula unit
* N(E_F): 3.94 states/eV/f.u.
* ρ: 8.3 Mg/m³

Cell lengths 4.6344, 4.6344, 4.6344 Å; angles 90.00, 90.00, 90.00 degrees
Space group Pm-3m (No. 221)
Symmetry-distinct sites (fractional):
Te  0.0000  0.0000  0.5000
Ru  0.5000  0.5000  0.5000
C  0.0000  0.0000  0.0000

Which of them is the least stable? Correct choice: w).